(1)
The following is a PBE calculation of a geometry-optimized Tb9Y2Th structure, from the Alexandria database.

Cell and atoms, written as CIF:
```
data_Tb9Y2Th
_symmetry_space_group_name_H-M 'P 1'
_symmetry_Int_Tables_number 1
_cell_length_a 5.0425
_cell_length_b 5.0425
_cell_length_c 15.1207
_cell_angle_alpha 90.00
_cell_angle_beta 90.00
_cell_angle_gamma 90.00
loop_
_symmetry_equiv_pos_as_xyz
'x,y,z'
loop_
_atom_site_label
_atom_site_type_symbol
_atom_site_fract_x
_atom_site_fract_y
_atom_site_fract_z
Tb1 Tb 0.5000 0.5000 0.0000
Tb2 Tb 0.5000 0.5000 0.3349
Tb3 Tb 0.5000 0.5000 0.6651
Tb4 Tb 0.5000 0.0000 0.1645
Tb5 Tb 0.5000 0.0000 0.5000
Tb6 Tb 0.5000 0.0000 0.8355
Tb7 Tb 0.0000 0.5000 0.1645
Tb8 Tb 0.0000 0.5000 0.5000
Tb9 Tb 0.0000 0.5000 0.8355
Y1 Y 0.0000 0.0000 0.3331
Y2 Y 0.0000 0.0000 0.6669
Th1 Th 0.0000 0.0000 0.0000
```

## Properties
For the energy of formation from the pure elements, the calculation gives 27 meV per atom. The density is 7.95 g/cm³. As for the space group: No. 123. The calculation puts the electronic total energy at -5.141 eV per atom.


(2)
The following is a PBE calculation of a geometry-optimized Tb10Y6Th structure, from the Alexandria database.

Cell and atoms, written as CIF:
```
data_Tb10Y6Th
_symmetry_space_group_name_H-M 'P 1'
_symmetry_Int_Tables_number 1
_cell_length_a 6.8654
_cell_length_b 9.6796
_cell_length_c 9.6796
_cell_angle_alpha 120.00
_cell_angle_beta 90.00
_cell_angle_gamma 90.00
loop_
_symmetry_equiv_pos_as_xyz
'x,y,z'
loop_
_atom_site_label
_atom_site_type_symbol
_atom_site_fract_x
_atom_site_fract_y
_atom_site_fract_z
Tb1 Tb 0.8221 0.7232 0.7232
Tb2 Tb 0.8221 0.0000 0.2768
Tb3 Tb 0.8221 0.2768 0.0000
Tb4 Tb 0.1779 0.2768 0.2768
Tb5 Tb 0.1779 0.0000 0.7232
Tb6 Tb 0.1779 0.7232 0.0000
Tb7 Tb 0.5000 0.3333 0.6667
Tb8 Tb 0.5000 0.6667 0.3333
Tb9 Tb 0.0000 0.6667 0.3333
Tb10 Tb 0.0000 0.3333 0.6667
Y1 Y 0.6899 0.3706 0.3706
Y2 Y 0.6899 0.0000 0.6294
Y3 Y 0.6899 0.6294 0.0000
Y4 Y 0.3101 0.6294 0.6294
Y5 Y 0.3101 0.0000 0.3706
Y6 Y 0.3101 0.3706 0.0000
Th1 Th 0.5000 0.0000 0.0000
```

## Properties
For the energy of formation from the pure elements, the calculation gives 153 meV per atom. The density is 7.02 g/cm³. As for the space group: No. 162. The calculation puts the electronic total energy at -5.289 eV per atom.


(3)
The following is a PBE calculation of a geometry-optimized Tb3Y2Th3 structure, from the Alexandria database.

Cell and atoms, written as CIF:
```
data_Tb3Y2Th3
_symmetry_space_group_name_H-M 'P 1'
_symmetry_Int_Tables_number 1
_cell_length_a 3.6019
_cell_length_b 9.1281
_cell_length_c 9.1281
_cell_angle_alpha 120.00
_cell_angle_beta 90.00
_cell_angle_gamma 90.00
loop_
_symmetry_equiv_pos_as_xyz
'x,y,z'
loop_
_atom_site_label
_atom_site_type_symbol
_atom_site_fract_x
_atom_site_fract_y
_atom_site_fract_z
Tb1 Tb 0.5000 0.0000 0.3937
Tb2 Tb 0.5000 0.3937 0.0000
Tb3 Tb 0.5000 0.6064 0.6064
Y1 Y 0.0000 0.6666 0.3333
Y2 Y 0.0000 0.3333 0.6666
Th1 Th 0.0000 0.0000 0.7732
Th2 Th 0.0000 0.7732 0.0000
Th3 Th 0.0000 0.2268 0.2268
```

## Properties
For the energy of formation from the pure elements, the calculation gives 162 meV per atom. The density is 8.63 g/cm³. As for the space group: No. 189. The calculation puts the electronic total energy at -5.973 eV per atom.


(4)
The following is a PBE calculation of a geometry-optimized Tb6Y12Th structure, from the Alexandria database.

Cell and atoms, written as CIF:
```
data_Tb6Y12Th
_symmetry_space_group_name_H-M 'P 1'
_symmetry_Int_Tables_number 1
_cell_length_a 8.7112
_cell_length_b 8.7112
_cell_length_c 8.7112
_cell_angle_alpha 98.48
_cell_angle_beta 98.48
_cell_angle_gamma 98.48
loop_
_symmetry_equiv_pos_as_xyz
'x,y,z'
loop_
_atom_site_label
_atom_site_type_symbol
_atom_site_fract_x
_atom_site_fract_y
_atom_site_fract_z
Tb1 Tb 0.1407 0.1407 0.4063
Tb2 Tb 0.8593 0.5937 0.8593
Tb3 Tb 0.5937 0.8593 0.8593
Tb4 Tb 0.8593 0.8593 0.5937
Tb5 Tb 0.1407 0.4063 0.1407
Tb6 Tb 0.4063 0.1407 0.1407
Y1 Y 0.5908 0.1698 0.5908
Y2 Y 0.1698 0.5908 0.5908
Y3 Y 0.5908 0.5908 0.1698
Y4 Y 0.4092 0.8302 0.4092
Y5 Y 0.8302 0.4092 0.4092
Y6 Y 0.4092 0.4092 0.8302
Y7 Y 0.2628 0.0000 0.7372
Y8 Y 0.2628 0.7372 0.0000
Y9 Y 0.0000 0.2628 0.7372
Y10 Y 0.7372 0.0000 0.2628
Y11 Y 0.7372 0.2628 0.0000
Y12 Y 0.0000 0.7372 0.2628
Th1 Th 0.0000 0.0000 0.0000
```

## Properties
For the energy of formation from the pure elements, the calculation gives 133 meV per atom. The density is 5.87 g/cm³. As for the space group: No. 166. The calculation puts the electronic total energy at -5.802 eV per atom.


(5)
The following is a PBE calculation of a geometry-optimized Tb2Y5Th2 structure, from the Alexandria database.

Cell and atoms, written as CIF:
```
data_Tb2Y5Th2
_symmetry_space_group_name_H-M 'P 1'
_symmetry_Int_Tables_number 1
_cell_length_a 11.9115
_cell_length_b 6.6689
_cell_length_c 10.1095
_cell_angle_alpha 109.26
_cell_angle_beta 126.09
_cell_angle_gamma 90.00
loop_
_symmetry_equiv_pos_as_xyz
'x,y,z'
loop_
_atom_site_label
_atom_site_type_symbol
_atom_site_fract_x
_atom_site_fract_y
_atom_site_fract_z
Tb1 Tb 0.1277 0.6768 0.2507
Tb2 Tb 0.8722 0.4261 0.7493
Tb3 Tb 0.6229 0.1768 0.2507
Tb4 Tb 0.3771 0.9261 0.7493
Y1 Y 0.2042 0.6580 0.8930
Y2 Y 0.7958 0.7650 0.1070
Y3 Y 0.1888 0.1580 0.8930
Y4 Y 0.8112 0.2650 0.1070
Y5 Y 0.3685 0.0482 0.2862
Y6 Y 0.6315 0.7620 0.7138
Y7 Y 0.4177 0.5482 0.2862
Y8 Y 0.5823 0.2620 0.7138
Y9 Y 0.0200 0.6539 0.5000
Y10 Y 0.9800 0.1539 0.5000
Th1 Th 0.0000 0.0138 0.0000
Th2 Th 0.5000 0.5138 0.0000
Th3 Th 0.2485 0.3322 0.5000
Th4 Th 0.7515 0.8322 0.5000
```

## Properties
For the energy of formation from the pure elements, the calculation gives 259 meV per atom. The density is 6.88 g/cm³. As for the space group: No. 46. The calculation puts the electronic total energy at -6.010 eV per atom.


(6)
The following is a PBE calculation of a geometry-optimized TbY7Th3 structure, from the Alexandria database.

Cell and atoms, written as CIF:
```
data_TbY7Th3
_symmetry_space_group_name_H-M 'P 1'
_symmetry_Int_Tables_number 1
_cell_length_a 6.7233
_cell_length_b 8.7046
_cell_length_c 6.4616
_cell_angle_alpha 82.98
_cell_angle_beta 83.25
_cell_angle_gamma 101.36
loop_
_symmetry_equiv_pos_as_xyz
'x,y,z'
loop_
_atom_site_label
_atom_site_type_symbol
_atom_site_fract_x
_atom_site_fract_y
_atom_site_fract_z
Tb1 Tb 0.5000 0.5000 0.5000
Y1 Y 0.2320 0.2052 0.2937
Y2 Y 0.2848 0.8559 0.5691
Y3 Y 0.7318 0.4237 0.0076
Y4 Y 0.2682 0.5763 0.9924
Y5 Y 0.0000 0.5000 0.5000
Y6 Y 0.7152 0.1441 0.4309
Y7 Y 0.7680 0.7948 0.7063
Th1 Th 0.9458 0.8374 0.1746
Th2 Th 0.5000 0.0000 0.0000
Th3 Th 0.0542 0.1626 0.8254
```

## Properties
For the energy of formation from the pure elements, the calculation gives 156 meV per atom. The density is 6.74 g/cm³. As for the space group: No. 2. The calculation puts the electronic total energy at -6.402 eV per atom.